Record 1
Entry from Alexandria: a geometry-optimized Ac4Te2PPt structure (GGA-PBE).

Lattice parameters (Å, degrees): 7.966 4.469 8.190 90.00 108.41 90.00
Positions (direct):
Ac  0.233  0.000  0.213
Ac  0.263  0.500  0.780
Ac  0.737  0.500  0.220
Ac  0.767  0.000  0.787
Te  0.000  0.000  0.500
Te  0.500  0.500  0.500
P  0.500  0.000  0.000
Pt  0.000  0.500  0.000

As for the crystal system: monoclinic. The formation energy (no corrections) comes out at -11.32 eV/f.u.



Record 2
Entry from Alexandria: a geometry-optimized Ta3Zn2C structure (GGA-PBE).

Lattice parameters (Å, degrees): 7.062 7.062 7.062 90.00 90.00 90.00
Positions (direct):
Ta  0.042  0.125  0.792
Ta  0.125  0.792  0.042
Ta  0.208  0.542  0.375
Ta  0.292  0.458  0.875
Ta  0.375  0.208  0.542
Ta  0.458  0.875  0.292
Ta  0.542  0.375  0.208
Ta  0.625  0.708  0.958
Ta  0.708  0.958  0.625
Ta  0.792  0.042  0.125
Ta  0.875  0.292  0.458
Ta  0.958  0.625  0.708
Zn  0.071  0.929  0.429
Zn  0.179  0.179  0.179
Zn  0.321  0.821  0.679
Zn  0.429  0.071  0.929
Zn  0.571  0.571  0.571
Zn  0.679  0.321  0.821
Zn  0.821  0.679  0.321
Zn  0.929  0.429  0.071
C  0.125  0.375  0.625
C  0.375  0.625  0.125
C  0.625  0.125  0.375
C  0.875  0.875  0.875

As for the crystal system: cubic. As for the energy relative to the elements: -0.281 eV per atom.



| no. | DOS at the Fermi energy (states/eV per cell) |
| --- | --- |
| 1 | 6.71 |
| 2 | 11.20 |